This record from Alexandria describes Y2AlRh after structural relaxation. The functional is PBE.

Values from the calculation:
Crystal system: orthorhombic
Total magnetic moment, μB/atom: 0.000

Cell lengths 6.1903, 6.1903, 4.9024 Å; angles 66.71, 66.71, 31.57 degrees
Last column: nearest neighbours and their distance in Å.
Element x y z (fractional)
Y 0.2461 0.2461 0.2540  4 Rh 2.98, 2 Al 3.28, 2 Y 3.33
Rh 0.7682 0.7682 0.7318  2 Al 2.57
Y 0.0388 0.0388 0.9612  2 Rh 3.01, 4 Al 3.14, 4 Y 3.33-3.37
Al 0.4468 0.4468 0.5530  2 Rh 2.57

This record from Alexandria describes YAl2Rh after structural relaxation. The functional is PBE.

Values from the calculation:
Crystal system: monoclinic
Total magnetic moment, μB/atom: 0.000

Cell lengths 4.3415, 4.3415, 5.5349 Å; angles 66.82, 66.82, 60.05 degrees
Last column: nearest neighbours and their distance in Å.
Element x y z (fractional)
Al 0.7822 0.7822 0.6536  3 Rh 2.52, 3 Al 2.75
Rh 0.4341 0.4341 0.6976  6 Al 2.52-2.67, 1 Y 2.81
Al 0.0396 0.0396 0.8807  3 Rh 2.66-2.67, 3 Al 2.75
Y 0.2441 0.2441 0.2681  1 Rh 2.81, 6 Al 3.02-3.15

This record from Alexandria describes YAlRh after structural relaxation. The functional is PBE.

Values from the calculation:
Crystal system: hexagonal
Total magnetic moment, μB/atom: 0.000

Cell lengths 4.3323, 4.3323, 3.7538 Å; angles 90.00, 90.00, 120.00 degrees
Last column: nearest neighbours and their distance in Å.
Element x y z (fractional)
Al 0.0000 0.0000 0.1668  3 Rh 2.50
Y 0.3333 0.6667 0.6668  6 Rh 3.13, 6 Al 3.13
Rh 0.6667 0.3333 0.1664  3 Al 2.50

This record from Alexandria describes Y2AlZnRh2 after structural relaxation. The functional is PBE.

Values from the calculation:
Crystal system: orthorhombic
Total magnetic moment, μB/atom: 0.000

Cell lengths 5.7199, 5.7248, 8.2246 Å; angles 110.37, 110.35, 90.00 degrees
Last column: nearest neighbours and their distance in Å.
Element x y z (fractional)
Rh 0.3889 0.6162 0.2324  2 Al 2.55, 2 Zn 2.69
Rh 0.1565 0.8838 0.7676  2 Al 2.55, 2 Zn 2.69
Zn 0.0000 0.2500 0.0000  4 Rh 2.69, 2 Al 2.86, 2 Zn 2.86
Y 0.9385 0.6713 0.3427  5 Rh 2.94-3.04, 2 Zn 3.14, 2 Al 3.23
Y 0.4041 0.1713 0.3427  5 Rh 2.94-3.04, 2 Zn 3.14, 2 Al 3.23
Zn 0.0000 0.7500 0.0000  4 Rh 2.69, 2 Al 2.86, 2 Zn 2.86
Rh 0.6111 0.3838 0.7676  2 Al 2.55, 2 Zn 2.69
Al 0.5000 0.2500 0.0000  4 Rh 2.55
Y 0.5959 0.8287 0.6573  5 Rh 2.94-3.04, 2 Zn 3.14, 2 Al 3.23
Y 0.0615 0.3287 0.6573  5 Rh 2.94-3.04, 2 Zn 3.14, 2 Al 3.23
Al 0.5000 0.7500 0.0000  4 Rh 2.55
Rh 0.8435 0.1162 0.2324  2 Al 2.55, 2 Zn 2.69

This record from Alexandria describes YAlZn2Rh after structural relaxation. The functional is PBE.

Values from the calculation:
Crystal system: tetragonal
Total magnetic moment, μB/atom: 0.000

Cell lengths 5.1877, 5.4450, 5.1877 Å; angles 90.00, 90.00, 90.00 degrees
Last column: nearest neighbours and their distance in Å.
Element x y z (fractional)
Rh 0.5000 0.5000 0.5000  4 Al 3.67, 8 Zn 3.76
Y 0.0000 0.0000 0.0000  4 Zn 2.59, 2 Al 2.72
Al 0.0000 0.5000 0.0000  2 Y 2.72
Zn 0.5000 0.0000 0.0000  2 Y 2.59
Zn 0.0000 0.0000 0.5000  2 Y 2.59

This record from Alexandria describes Al5ZnRh4 after structural relaxation. The functional is PBE.

Values from the calculation:
Crystal system: tetragonal
Total magnetic moment, μB/atom: 0.000

Cell lengths 3.0297, 3.0297, 15.1134 Å; angles 90.00, 90.00, 90.00 degrees
Last column: nearest neighbours and their distance in Å.
Element x y z (fractional)
Rh 0.0000 0.0000 0.2001  8 Al 2.56-2.64
Al 0.5000 0.5000 0.1075  4 Rh 2.56, 4 Zn 2.69
Rh 0.0000 0.0000 0.5991  8 Al 2.61
Al 0.5000 0.5000 0.8925  4 Rh 2.56, 4 Zn 2.69
Rh 0.0000 0.0000 0.4009  8 Al 2.61
Rh 0.0000 0.0000 0.7999  8 Al 2.56-2.64
Zn 0.0000 0.0000 0.0000  8 Al 2.69
Al 0.5000 0.5000 0.3019  8 Rh 2.61-2.64
Al 0.5000 0.5000 0.5000  8 Rh 2.61
Al 0.5000 0.5000 0.6981  8 Rh 2.61-2.64

This record from Alexandria describes AlZnRh2 after structural relaxation. The functional is PBE.

Values from the calculation:
Crystal system: orthorhombic
Total magnetic moment, μB/atom: 0.000

Cell lengths 5.1961, 5.1961, 5.1961 Å; angles 146.86, 132.37, 59.25 degrees
Last column: nearest neighbours and their distance in Å.
Element x y z (fractional)
Rh 0.0110 0.0110 0.0000  2 Al 2.56, 4 Zn 2.57, 2 Rh 2.80
Al 0.2421 0.7421 0.5000  6 Rh 2.56-2.57, 2 Zn 2.75
Rh 0.7484 0.2484 0.5000  4 Al 2.57, 2 Zn 2.70, 2 Rh 2.80
Zn 0.4985 0.4985 0.0000  6 Rh 2.57-2.70, 2 Al 2.75

This record from Alexandria describes AlZnRh2 after structural relaxation. The functional is PBE.

Values from the calculation:
Crystal system: tetragonal
Total magnetic moment, μB/atom: 0.000

Cell lengths 3.8741, 3.8741, 8.8864 Å; angles 77.41, 77.41, 90.00 degrees
Last column: nearest neighbours and their distance in Å.
Element x y z (fractional)
Al 0.5000 0.5000 0.0000  4 Rh 2.53, 4 Zn 2.74
Zn 0.7500 0.2500 0.5000  4 Rh 2.51, 4 Al 2.74
Rh 0.8750 0.8811 0.7500  2 Zn 2.51, 2 Al 2.53, 4 Rh 2.71-2.77
Rh 0.1189 0.6250 0.2500  2 Zn 2.51, 2 Al 2.53, 4 Rh 2.71-2.77
Rh 0.3750 0.3689 0.7500  2 Zn 2.51, 2 Al 2.53, 4 Rh 2.71-2.77
Zn 0.0000 0.0000 0.0000  4 Rh 2.51, 4 Al 2.74
Rh 0.6311 0.1250 0.2500  2 Zn 2.51, 2 Al 2.53, 4 Rh 2.71-2.77
Al 0.2500 0.7500 0.5000  4 Rh 2.53, 4 Zn 2.74

This record from Alexandria describes AlZnRh2 after structural relaxation. The functional is PBE.

Values from the calculation:
Crystal system: orthorhombic
Total magnetic moment, μB/atom: 0.000

Cell lengths 2.8281, 3.7854, 5.2982 Å; angles 90.00, 90.00, 90.00 degrees
Last column: nearest neighbours and their distance in Å.
Element x y z (fractional)
Rh 0.5000 0.5000 0.2784  4 Zn 2.59, 2 Al 2.61-2.68, 6 Rh 2.83-2.87
Al 0.5000 0.5000 0.7719  6 Rh 2.59-2.68, 4 Zn 2.83, 2 Al 2.83
Zn 0.0000 0.0000 0.4786  6 Rh 2.59-2.69, 4 Al 2.83, 2 Zn 2.83
Rh 0.0000 0.0000 0.9712  4 Al 2.59, 2 Zn 2.61-2.69, 6 Rh 2.83-2.87

This record from Alexandria describes AlZnRh2 after structural relaxation. The functional is PBE.

Values from the calculation:
Crystal system: cubic
Total magnetic moment, μB/atom: 0.001

Cell lengths 4.3216, 4.3216, 4.3216 Å; angles 60.00, 60.00, 60.00 degrees
Last column: nearest neighbours and their distance in Å.
Element x y z (fractional)
Rh 0.0000 0.0000 0.0000  4 Rh 2.65, 4 Zn 2.65
Al 0.5000 0.5000 0.5000  4 Zn 2.65, 4 Rh 2.65
Rh 0.2500 0.2500 0.2500  4 Rh 2.65, 4 Al 2.65
Zn 0.7500 0.7500 0.7500  4 Al 2.65, 4 Rh 2.65

This record from Alexandria describes Al6Zn2Rh after structural relaxation. The functional is PBE.

Values from the calculation:
Crystal system: hexagonal
Total magnetic moment, μB/atom: 0.000

Cell lengths 3.1946, 7.1648, 7.1648 Å; angles 120.00, 90.00, 90.00 degrees
Last column: nearest neighbours and their distance in Å.
Element x y z (fractional)
Zn 0.0000 0.6667 0.3333  9 Al 2.60-2.77
Al 0.5000 0.3702 0.3701  1 Rh 2.65, 4 Zn 2.77, 4 Al 2.88
Al 0.5000 0.0000 0.6299  1 Rh 2.65, 4 Zn 2.77, 4 Al 2.88
Al 0.5000 0.6298 0.0000  1 Rh 2.65, 4 Zn 2.77, 4 Al 2.88
Rh 0.5000 0.0000 0.0000  9 Al 2.56-2.65
Al 0.0000 0.7202 0.7202  2 Rh 2.56, 2 Zn 2.60
Al 0.0000 0.0000 0.2798  2 Rh 2.56, 2 Zn 2.60
Al 0.0000 0.2798 0.0000  2 Rh 2.56, 2 Zn 2.60
Zn 0.0000 0.3333 0.6667  9 Al 2.60-2.77

This record from Alexandria describes Al4ZnRh5 after structural relaxation. The functional is PBE.

Values from the calculation:
Crystal system: tetragonal
Total magnetic moment, μB/atom: 0.000

Cell lengths 2.9991, 2.9991, 15.0803 Å; angles 90.00, 90.00, 90.00 degrees
Last column: nearest neighbours and their distance in Å.
Element x y z (fractional)
Zn 0.0000 0.0000 0.0000  8 Rh 2.64
Al 0.0000 0.0000 0.1974  8 Rh 2.54-2.64
Al 0.0000 0.0000 0.6006  8 Rh 2.58-2.61
Rh 0.5000 0.5000 0.8954  4 Al 2.54, 4 Zn 2.64
Al 0.0000 0.0000 0.8026  8 Rh 2.54-2.64
Al 0.0000 0.0000 0.3994  8 Rh 2.58-2.61
Rh 0.5000 0.5000 0.6983  8 Al 2.58-2.64
Rh 0.5000 0.5000 0.3017  8 Al 2.58-2.64
Rh 0.5000 0.5000 0.1046  4 Al 2.54, 4 Zn 2.64
Rh 0.5000 0.5000 0.5000  8 Al 2.61

Number 1: calculated total energy -26.2 eV/cell. Number 2: calculated total energy -24.2 eV/cell. Number 3: calculated total energy -19.8 eV/cell. Number 4: calculated total energy -74.4 eV/cell. Number 5: calculated total energy -12.6 eV/cell. Number 6: calculated total energy -57.9 eV/cell. Number 7: calculated total energy -21.8 eV/cell. Number 8: calculated total energy -39.8 eV/cell. Number 9: calculated total energy -21.6 eV/cell. Number 10: calculated total energy -21.0 eV/cell. Number 11: calculated total energy -34.6 eV/cell. Number 12: calculated total energy -62.9 eV/cell.